Entry from the Alexandria database: crystalline AcErZnGa at its relaxed geometry (GGA-PBE).

Structure (CIF):
```
data_AcErZnGa
_chemical_formula_sum 'Ac4 Er4 Zn4 Ga4'
_cell_length_a 7.5028
_cell_length_b 7.5028
_cell_length_c 7.5028
_cell_angle_alpha 90.00
_cell_angle_beta 90.00
_cell_angle_gamma 90.00
_symmetry_space_group_name_H-M 'F -4 3 m'
_symmetry_Int_Tables_number 216
_symmetry_space_group_name_Hall 'F -4 2 3'
loop_
_atom_site_label
_atom_site_fract_x
_atom_site_fract_y
_atom_site_fract_z
_atom_site_occupancy
Ac1 0.0000 0.0000 0.0000 1
Er1 0.0000 0.0000 0.5000 1
Zn1 0.2500 0.2500 0.7500 1
Ga1 0.2500 0.2500 0.2500 1
```

* E_tot: -3.6019 eV per atom
* magnetization: 0.00 μB/cell

***

Entry from the Alexandria database: crystalline AcGdErHg at its relaxed geometry (GGA-PBE).

Structure (CIF):
```
data_AcGdErHg
_chemical_formula_sum 'Ac4 Gd4 Er4 Hg4'
_cell_length_a 7.8916
_cell_length_b 7.8916
_cell_length_c 7.8916
_cell_angle_alpha 90.00
_cell_angle_beta 90.00
_cell_angle_gamma 90.00
_symmetry_space_group_name_H-M 'F -4 3 m'
_symmetry_Int_Tables_number 216
_symmetry_space_group_name_Hall 'F -4 2 3'
loop_
_atom_site_label
_atom_site_fract_x
_atom_site_fract_y
_atom_site_fract_z
_atom_site_occupancy
Ac1 0.0000 0.0000 0.0000 1
Gd1 0.2500 0.2500 0.2500 1
Er1 0.2500 0.2500 0.7500 1
Hg1 0.0000 0.0000 0.5000 1
```

* E_tot: -5.7230 eV per atom
* magnetization: 33.62 μB/cell

***

Entry from the Alexandria database: crystalline AcLaGdEr at its relaxed geometry (GGA-PBE).

Structure (CIF):
```
data_AcLaGdEr
_chemical_formula_sum 'Ac4 La4 Gd4 Er4'
_cell_length_a 8.3613
_cell_length_b 8.3613
_cell_length_c 8.3613
_cell_angle_alpha 90.00
_cell_angle_beta 90.00
_cell_angle_gamma 90.00
_symmetry_space_group_name_H-M 'F -4 3 m'
_symmetry_Int_Tables_number 216
_symmetry_space_group_name_Hall 'F -4 2 3'
loop_
_atom_site_label
_atom_site_fract_x
_atom_site_fract_y
_atom_site_fract_z
_atom_site_occupancy
Ac1 0.0000 0.0000 0.0000 1
La1 0.2500 0.2500 0.7500 1
Gd1 0.2500 0.2500 0.2500 1
Er1 0.0000 0.0000 0.5000 1
```

* E_tot: -6.7715 eV per atom
* magnetization: 35.91 μB/cell

***

Entry from the Alexandria database: crystalline LiAcGdEr at its relaxed geometry (GGA-PBE).

Structure (CIF):
```
data_LiAcGdEr
_chemical_formula_sum 'Li4 Ac4 Gd4 Er4'
_cell_length_a 8.0346
_cell_length_b 8.0346
_cell_length_c 8.0346
_cell_angle_alpha 90.00
_cell_angle_beta 90.00
_cell_angle_gamma 90.00
_symmetry_space_group_name_H-M 'F -4 3 m'
_symmetry_Int_Tables_number 216
_symmetry_space_group_name_Hall 'F -4 2 3'
loop_
_atom_site_label
_atom_site_fract_x
_atom_site_fract_y
_atom_site_fract_z
_atom_site_occupancy
Li1 0.0000 0.0000 0.0000 1
Ac1 0.2500 0.2500 0.2500 1
Gd1 0.2500 0.2500 0.7500 1
Er1 0.0000 0.0000 0.5000 1
```

* E_tot: -6.0112 eV per atom
* magnetization: 29.84 μB/cell

***

Entry from the Alexandria database: crystalline AcGdErLu at its relaxed geometry (GGA-PBE).

Structure (CIF):
```
data_AcGdErLu
_chemical_formula_sum 'Ac4 Gd4 Er4 Lu4'
_cell_length_a 8.1867
_cell_length_b 8.1867
_cell_length_c 8.1867
_cell_angle_alpha 90.00
_cell_angle_beta 90.00
_cell_angle_gamma 90.00
_symmetry_space_group_name_H-M 'F -4 3 m'
_symmetry_Int_Tables_number 216
_symmetry_space_group_name_Hall 'F -4 2 3'
loop_
_atom_site_label
_atom_site_fract_x
_atom_site_fract_y
_atom_site_fract_z
_atom_site_occupancy
Ac1 0.0000 0.0000 0.0000 1
Gd1 0.0000 0.0000 0.5000 1
Er1 0.2500 0.2500 0.7500 1
Lu1 0.2500 0.2500 0.2500 1
```

* E_tot: -6.7186 eV per atom
* magnetization: 30.13 μB/cell

***

Entry from the Alexandria database: crystalline AcGdErMg at its relaxed geometry (GGA-PBE).

Structure (CIF):
```
data_AcGdErMg
_chemical_formula_sum 'Ac4 Gd4 Er4 Mg4'
_cell_length_a 8.0606
_cell_length_b 8.0606
_cell_length_c 8.0606
_cell_angle_alpha 90.00
_cell_angle_beta 90.00
_cell_angle_gamma 90.00
_symmetry_space_group_name_H-M 'F -4 3 m'
_symmetry_Int_Tables_number 216
_symmetry_space_group_name_Hall 'F -4 2 3'
loop_
_atom_site_label
_atom_site_fract_x
_atom_site_fract_y
_atom_site_fract_z
_atom_site_occupancy
Ac1 0.0000 0.0000 0.0000 1
Gd1 0.0000 0.0000 0.5000 1
Er1 0.2500 0.2500 0.7500 1
Mg1 0.2500 0.2500 0.2500 1
```

* E_tot: -6.0447 eV per atom
* magnetization: 30.75 μB/cell

***

Entry from the Alexandria database: crystalline AcNdGdEr at its relaxed geometry (GGA-PBE).

Structure (CIF):
```
data_AcNdGdEr
_chemical_formula_sum 'Ac4 Nd4 Gd4 Er4'
_cell_length_a 8.3154
_cell_length_b 8.3154
_cell_length_c 8.3154
_cell_angle_alpha 90.00
_cell_angle_beta 90.00
_cell_angle_gamma 90.00
_symmetry_space_group_name_H-M 'F -4 3 m'
_symmetry_Int_Tables_number 216
_symmetry_space_group_name_Hall 'F -4 2 3'
loop_
_atom_site_label
_atom_site_fract_x
_atom_site_fract_y
_atom_site_fract_z
_atom_site_occupancy
Ac1 0.0000 0.0000 0.0000 1
Nd1 0.2500 0.2500 0.2500 1
Gd1 0.2500 0.2500 0.7500 1
Er1 0.0000 0.0000 0.5000 1
```

* E_tot: -6.7340 eV per atom
* magnetization: 35.68 μB/cell

***

Entry from the Alexandria database: crystalline AcGdErPb at its relaxed geometry (GGA-PBE).

Structure (CIF):
```
data_AcGdErPb
_chemical_formula_sum 'Ac4 Gd4 Er4 Pb4'
_cell_length_a 7.9615
_cell_length_b 7.9615
_cell_length_c 7.9615
_cell_angle_alpha 90.00
_cell_angle_beta 90.00
_cell_angle_gamma 90.00
_symmetry_space_group_name_H-M 'F -4 3 m'
_symmetry_Int_Tables_number 216
_symmetry_space_group_name_Hall 'F -4 2 3'
loop_
_atom_site_label
_atom_site_fract_x
_atom_site_fract_y
_atom_site_fract_z
_atom_site_occupancy
Ac1 0.0000 0.0000 0.0000 1
Gd1 0.2500 0.2500 0.2500 1
Er1 0.2500 0.2500 0.7500 1
Pb1 0.0000 0.0000 0.5000 1
```

* E_tot: -6.6749 eV per atom
* magnetization: 32.12 μB/cell